<one>
VASP calculation (PBE-GGA) on a relaxed structure of Ba2TlHg3.

POSCAR file:
```
Ba2TlHg3
1.0
-1.736 -6.441 -0.749
4.313 -3.306 3.941
-7.192 5.639 5.506
Ba Tl Hg
4 2 6
direct
0.750 0.250 0.500
0.755 0.245 0.000
0.250 0.750 0.500
0.245 0.755 0.000
0.666 0.666 0.332
0.334 0.334 0.668
0.834 0.834 0.166
0.668 0.668 0.834
0.166 0.166 0.834
0.332 0.332 0.166
0.166 0.166 0.333
0.834 0.834 0.667
```

Computed properties:
**Symmetry**: Fmmm

<two>
VASP calculation (PBE-GGA) on a relaxed structure of Ba2TlHg3.

POSCAR file:
```
Ba2TlHg3
1.0
-1.384 -2.716 -3.707
0.745 -3.950 2.616
-8.548 3.683 3.600
Ba Tl Hg
2 1 3
direct
0.126 0.126 0.251
0.871 0.371 0.742
0.458 0.958 0.915
0.706 0.706 0.411
0.547 0.547 0.094
0.293 0.793 0.586
```

Computed properties:
**Symmetry**: Imm2

The least stable of them is <two>.